(1)
This record from Alexandria describes LaTlAg2 after structural relaxation. The functional is GGA-PBE.

Properties
E   -3.372 eV/atom
Magnetic moment   0.0 μB per formula unit

a = 3.5369 Å, b = 5.0304 Å, c = 5.8566 Å
α = 90.00°, β = 90.86°, γ = 90.00°
Space group Pm (No. 6)
Inequivalent atoms, fractional coordinates:
La: 0.0000 0.0000 0.0000 (multiplicity 1)
Tl: 0.4856 0.5000 0.7280 (multiplicity 1)
Ag: 0.5029 0.0000 0.4819 (multiplicity 1)
Ag: 0.5109 0.5000 0.2376 (multiplicity 1)

(2)
This record from Alexandria describes La2Tl2Ag3 after structural relaxation. The functional is GGA-PBE.

Properties
E   -3.420 eV/atom
Magnetic moment   0.0 μB per formula unit

a = 9.2272 Å, b = 9.2272 Å, c = 9.2272 Å
α = 90.00°, β = 90.00°, γ = 90.00°
Space group I2_13 (No. 199)
Inequivalent atoms, fractional coordinates:
La: 0.2427 0.2573 0.7427 (multiplicity 8)
Tl: 0.0485 0.4515 0.5485 (multiplicity 8)
Ag: 0.0000 0.2500 0.0263 (multiplicity 12)

(3)
This record from Alexandria describes LaTlAg after structural relaxation. The functional is GGA-PBE.

Properties
E   -3.701 eV/atom
Magnetic moment   0.0 μB per formula unit

a = 11.2054 Å, b = 4.9514 Å, c = 7.6782 Å
α = 90.00°, β = 129.91°, γ = 90.00°
Space group C2/m (No. 12)
Inequivalent atoms, fractional coordinates:
La: 0.0298 0.0000 0.2885 (multiplicity 4)
Tl: 0.1701 0.5000 0.1194 (multiplicity 4)
Ag: 0.1597 0.5000 0.6944 (multiplicity 4)

(4)
This record from Alexandria describes LaTlAg2 after structural relaxation. The functional is GGA-PBE.

Properties
E   -3.513 eV/atom
Magnetic moment   0.0 μB per formula unit

a = 7.2970 Å, b = 7.2970 Å, c = 7.2970 Å
α = 90.00°, β = 90.00°, γ = 90.00°
Space group Fm-3m (No. 225)
Inequivalent atoms, fractional coordinates:
La: 0.0000 0.0000 0.0000 (multiplicity 4)
Tl: 0.0000 0.0000 0.5000 (multiplicity 4)
Ag: 0.2500 0.2500 0.2500 (multiplicity 8)

(5)
This record from Alexandria describes LaTlAg after structural relaxation. The functional is GGA-PBE.

Properties
E   -3.278 eV/atom
Magnetic moment   0.0 μB per formula unit

a = 7.3467 Å, b = 7.3467 Å, c = 7.3467 Å
α = 90.00°, β = 90.00°, γ = 90.00°
Space group F-43m (No. 216)
Inequivalent atoms, fractional coordinates:
La: 0.0000 0.0000 0.0000 (multiplicity 4)
Tl: 0.2500 0.2500 0.7500 (multiplicity 4)
Ag: 0.2500 0.2500 0.2500 (multiplicity 4)

(6)
This record from Alexandria describes La2Tl2Ag after structural relaxation. The functional is GGA-PBE.

Properties
E   -3.760 eV/atom
Magnetic moment   0.0 μB per formula unit

a = 4.3786 Å, b = 6.9969 Å, c = 9.7903 Å
α = 90.00°, β = 90.00°, γ = 90.00°
Space group Immm (No. 71)
Inequivalent atoms, fractional coordinates:
La: 0.0000 0.0000 0.2222 (multiplicity 4)
Tl: 0.0000 0.2766 0.5000 (multiplicity 4)
Ag: 0.0000 0.5000 0.0000 (multiplicity 2)

(7)
This record from Alexandria describes La6Tl2Ag after structural relaxation. The functional is GGA-PBE.

Properties
E   -4.379 eV/atom
Magnetic moment   0.0 μB per formula unit

a = 9.3249 Å, b = 9.3249 Å, c = 3.8672 Å
α = 90.00°, β = 90.00°, γ = 120.00°
Space group P-62m (No. 189)
Inequivalent atoms, fractional coordinates:
La: 0.0000 0.3969 0.0000 (multiplicity 3)
La: 0.0000 0.7316 0.5000 (multiplicity 3)
Tl: 0.3333 0.6667 0.5000 (multiplicity 2)
Ag: 0.0000 0.0000 0.0000 (multiplicity 1)

(8)
This record from Alexandria describes La3TlAg after structural relaxation. The functional is GGA-PBE.

Properties
E   -4.233 eV/atom
Magnetic moment   0.6 μB per formula unit

a = 7.7573 Å, b = 7.7573 Å, c = 7.7573 Å
α = 90.00°, β = 90.00°, γ = 90.00°
Space group Pm-3m (No. 221)
Inequivalent atoms, fractional coordinates:
La: 0.0000 0.0000 0.0000 (multiplicity 1)
La: 0.2670 0.2670 0.2670 (multiplicity 8)
Tl: 0.0000 0.0000 0.5000 (multiplicity 3)
Ag: 0.0000 0.5000 0.5000 (multiplicity 3)

(9)
This record from Alexandria describes La4TlAg2 after structural relaxation. The functional is GGA-PBE.

Properties
E   -4.153 eV/atom
Magnetic moment   1.7 μB per formula unit

a = 5.4202 Å, b = 5.4202 Å, c = 25.8008 Å
α = 90.00°, β = 90.00°, γ = 120.00°
Space group R-3m (No. 166, hexagonal axes)
Inequivalent atoms, fractional coordinates:
La: 0.0000 0.0000 0.1140 (multiplicity 6)
La: 0.0000 0.0000 0.3688 (multiplicity 6)
Tl: 0.0000 0.0000 0.5000 (multiplicity 3)
Ag: 0.0000 0.0000 0.2424 (multiplicity 6)

(10)
This record from Alexandria describes La3TlAg after structural relaxation. The functional is GGA-PBE.

Properties
E   -3.826 eV/atom
Magnetic moment   0.0 μB per formula unit

a = 5.7936 Å, b = 5.7936 Å, c = 5.7936 Å
α = 90.00°, β = 90.00°, γ = 90.00°
Space group Pm-3m (No. 221)
Inequivalent atoms, fractional coordinates:
La: 0.0000 0.0000 0.5000 (multiplicity 3)
Tl: 0.5000 0.5000 0.5000 (multiplicity 1)
Ag: 0.0000 0.0000 0.0000 (multiplicity 1)

(11)
This record from Alexandria describes La5TlAg after structural relaxation. The functional is GGA-PBE.

Properties
E   -4.326 eV/atom
Magnetic moment   0.0 μB per formula unit

a = 11.2573 Å, b = 6.9363 Å, c = 12.2719 Å
α = 90.00°, β = 103.23°, γ = 90.00°
Space group C2/c (No. 15)
Inequivalent atoms, fractional coordinates:
La: 0.0000 0.0468 0.2500 (multiplicity 4)
La: 0.1455 0.3790 0.0599 (multiplicity 8)
La: 0.2348 0.1603 0.6481 (multiplicity 8)
Tl: 0.0000 0.4333 0.7500 (multiplicity 4)
Ag: 0.0000 0.0000 0.0000 (multiplicity 4)

(12)
This record from Alexandria describes LaTlAg after structural relaxation. The functional is GGA-PBE.

Properties
E   -3.733 eV/atom
Magnetic moment   0.1 μB per formula unit

a = 5.0725 Å, b = 5.0725 Å, c = 3.5996 Å
α = 90.00°, β = 90.00°, γ = 120.00°
Space group P3m1 (No. 156)
Inequivalent atoms, fractional coordinates:
La: 0.0000 0.0000 0.0000 (multiplicity 1)
Tl: 0.3333 0.6667 0.5003 (multiplicity 1)
Ag: 0.6667 0.3333 0.4989 (multiplicity 1)

(13)
This record from Alexandria describes LaTlAg after structural relaxation. The functional is GGA-PBE.

Properties
E   -3.583 eV/atom
Magnetic moment   0.2 μB per formula unit

a = 3.7016 Å, b = 3.7016 Å, c = 11.7602 Å
α = 90.00°, β = 90.00°, γ = 90.00°
Space group I4mm (No. 107)
Inequivalent atoms, fractional coordinates:
La: 0.0000 0.0000 0.0000 (multiplicity 2)
Tl: 0.0000 0.0000 0.6914 (multiplicity 2)
Ag: 0.0000 0.0000 0.3283 (multiplicity 2)

(14)
This record from Alexandria describes LaTlAg2 after structural relaxation. The functional is GGA-PBE.

Properties
E   -3.210 eV/atom
Magnetic moment   0.3 μB per formula unit

a = 6.6652 Å, b = 10.1811 Å, c = 3.2362 Å
α = 90.00°, β = 111.07°, γ = 90.00°
Space group C2/m (No. 12)
Inequivalent atoms, fractional coordinates:
La: 0.0000 0.0000 0.0000 (multiplicity 2)
Tl: 0.0000 0.5000 0.0000 (multiplicity 2)
Ag: 0.2500 0.2500 0.5000 (multiplicity 4)

(15)
This record from Alexandria describes La3TlAg after structural relaxation. The functional is GGA-PBE.

Properties
E   -4.257 eV/atom
Magnetic moment   0.6 μB per formula unit

a = 5.5666 Å, b = 20.1563 Å, c = 5.5529 Å
α = 90.00°, β = 90.00°, γ = 90.00°
Space group Cmcm (No. 63)
Inequivalent atoms, fractional coordinates:
La: 0.0000 0.0571 0.2500 (multiplicity 4)
La: 0.0000 0.2487 0.2500 (multiplicity 4)
La: 0.0000 0.4369 0.2500 (multiplicity 4)
Tl: 0.0000 0.1513 0.7500 (multiplicity 4)
Ag: 0.0000 0.3519 0.7500 (multiplicity 4)

(16)
This record from Alexandria describes La2Tl2Ag after structural relaxation. The functional is GGA-PBE.

Properties
E   -3.552 eV/atom
Magnetic moment   0.5 μB per formula unit

a = 9.1849 Å, b = 9.1849 Å, c = 3.8168 Å
α = 90.00°, β = 90.00°, γ = 90.00°
Space group P4/mbm (No. 127)
Inequivalent atoms, fractional coordinates:
La: 0.1789 0.3211 0.0000 (multiplicity 4)
Tl: 0.1215 0.6215 0.5000 (multiplicity 4)
Ag: 0.0000 0.0000 0.0000 (multiplicity 2)

(17)
This record from Alexandria describes LaTlAg after structural relaxation. The functional is GGA-PBE.

Properties
E   -3.556 eV/atom
Magnetic moment   0.0 μB per formula unit

a = 3.5517 Å, b = 4.7742 Å, c = 9.6501 Å
α = 90.00°, β = 90.00°, γ = 90.00°
Space group Imm2 (No. 44)
Inequivalent atoms, fractional coordinates:
La: 0.0000 0.0000 0.0000 (multiplicity 2)
Tl: 0.0000 0.0000 0.6673 (multiplicity 2)
Ag: 0.0000 0.0000 0.3365 (multiplicity 2)

(18)
This record from Alexandria describes La6TlAg3 after structural relaxation. The functional is GGA-PBE.

Properties
E   -4.262 eV/atom
Magnetic moment   0.0 μB per formula unit

a = 9.7452 Å, b = 5.2648 Å, c = 12.3816 Å
α = 90.00°, β = 104.00°, γ = 90.00°
Space group P2_1/m (No. 11)
Inequivalent atoms, fractional coordinates:
La: 0.0241 0.2500 0.0998 (multiplicity 2)
La: 0.1462 0.2500 0.7178 (multiplicity 2)
La: 0.2034 0.7500 0.5073 (multiplicity 2)
La: 0.3633 0.2500 0.3537 (multiplicity 2)
La: 0.3678 0.7500 0.1035 (multiplicity 2)
La: 0.3813 0.7500 0.8443 (multiplicity 2)
Tl: 0.4376 0.2500 0.6346 (multiplicity 2)
Ag: 0.0400 0.2500 0.3606 (multiplicity 2)
Ag: 0.1533 0.7500 0.2474 (multiplicity 2)
Ag: 0.2769 0.2500 0.9712 (multiplicity 2)

(19)
This record from Alexandria describes La2Tl2Ag after structural relaxation. The functional is GGA-PBE.

Properties
E   -3.782 eV/atom
Magnetic moment   0.0 μB per formula unit

a = 7.7850 Å, b = 7.7850 Å, c = 4.9367 Å
α = 90.00°, β = 90.00°, γ = 90.00°
Space group P4/mbm (No. 127)
Inequivalent atoms, fractional coordinates:
La: 0.1608 0.3392 0.0000 (multiplicity 4)
Tl: 0.1440 0.6440 0.5000 (multiplicity 4)
Ag: 0.0000 0.0000 0.5000 (multiplicity 2)

(20)
This record from Alexandria describes La3Tl2Ag after structural relaxation. The functional is GGA-PBE.

Properties
E   -4.100 eV/atom
Magnetic moment   0.3 μB per formula unit

a = 3.7834 Å, b = 3.7834 Å, c = 12.6930 Å
α = 90.00°, β = 90.00°, γ = 90.00°
Space group P4/mmm (No. 123)
Inequivalent atoms, fractional coordinates:
La: 0.0000 0.0000 0.0000 (multiplicity 1)
La: 0.0000 0.0000 0.3462 (multiplicity 2)
Tl: 0.5000 0.5000 0.1756 (multiplicity 2)
Ag: 0.5000 0.5000 0.5000 (multiplicity 1)